K3RbNi2F9 PBE with a Hubbard U optimized geometry; total magnetization = 5.01 μB per cell; crystal system = trigonal; SG = P-3m1, No. 164; calculated total energy = -4.117 eV/atom; V = 254 Å³ per cell
1.0
5.8444 0.0000 0.0000
-2.9222 5.0614 0.0000
0.0000 0.0000 8.5805
K Rb Ni F
3 1 2 9
direct
0.0000 0.0000 0.0000
0.3333 0.6667 0.7425
0.6667 0.3333 0.2575
0.0000 0.0000 0.5000
0.3333 0.6667 0.1421
0.6667 0.3333 0.8579
0.0000 0.5000 0.0000
0.1756 0.3512 0.2634
0.1756 0.8244 0.2634
0.3512 0.1756 0.7366
0.5000 0.0000 0.0000
0.5000 0.5000 0.0000
0.6488 0.8244 0.2634
0.8244 0.1756 0.7366
0.8244 0.6488 0.7366